## TaCr2Au (PBE)

Data for crystalline TaCr2Au at its relaxed geometry.

* symmetry: P4/mmm, No. 123
* E_tot: -33.6 eV for the cell shown
* size of the total moment: 3.51 μB/f.u.
* Fermi-level density of states: 4.2 states/eV/f.u.
* ΔE to the lowest computed polymorph: 0.124 eV per atom
* energy of formation: 0.20 eV/atom

abc: 4.114 4.114 3.576
angles: 90.00 90.00 90.00
Fractional positions:
1 Ta 0.000 0.000 0.000
2 Cr 0.000 0.500 0.500
3 Cr 0.500 0.000 0.500
4 Au 0.500 0.500 0.000



## Cd8Ag2Pd (PBE)

Data for crystalline Cd8Ag2Pd at its relaxed geometry.

* symmetry: C2/m, No. 12
* E_tot: -18.4 eV for the cell shown
* size of the total moment: 0.00 μB/f.u.
* Fermi-level density of states: 3.4 states/eV/f.u.
* energy of formation: -0.02 eV/atom

abc: 7.738 7.738 4.962
angles: 100.86 100.86 121.13
Fractional positions:
1 Cd 0.096 0.318 0.644
2 Cd 0.207 0.793 0.000
3 Cd 0.318 0.096 0.644
4 Cd 0.388 0.388 0.201
5 Cd 0.612 0.612 0.799
6 Cd 0.682 0.904 0.356
7 Cd 0.793 0.207 0.000
8 Cd 0.904 0.682 0.356
9 Ag 0.305 0.695 0.500
10 Ag 0.695 0.305 0.500
11 Pd 0.000 0.000 0.000



## Zn2ReP (PBE)

Data for crystalline Zn2ReP at its relaxed geometry.

* symmetry: F-43m, No. 216
* E_tot: -18.5 eV for the cell shown
* size of the total moment: 0.00 μB/f.u.
* Fermi-level density of states: 3.7 states/eV/f.u.
* energy of formation: 0.48 eV/atom

abc: 4.315 4.315 4.315
angles: 60.00 60.00 60.00
Fractional positions:
1 Zn 0.000 0.000 0.000
2 Zn 0.250 0.250 0.250
3 Re 0.750 0.750 0.750
4 P 0.500 0.500 0.500



## ScGe2W (PBE)

Data for crystalline ScGe2W at its relaxed geometry.

* symmetry: I-42d, No. 122
* E_tot: -56.2 eV for the cell shown
* size of the total moment: 0.00 μB/f.u.
* Fermi-level density of states: 3.0 states/eV/f.u.
* ΔE to the lowest computed polymorph: 0.203 eV per atom
* energy of formation: 0.11 eV/atom

abc: 5.832 5.832 5.832
angles: 104.46 104.46 120.04
Fractional positions:
1 Sc 0.000 0.000 0.000
2 Sc 0.750 0.250 0.500
3 Ge 0.145 0.125 0.520
4 Ge 0.375 0.855 0.980
5 Ge 0.605 0.625 0.480
6 Ge 0.875 0.395 0.020
7 W 0.250 0.750 0.500
8 W 0.500 0.500 0.000